# Tb4Cd5Ni2 GGA-PBE optimized geometry
data_Tb4Cd5Ni2
_space_group_name_H-M_alt 'P 1 2/m 1'
_space_group_IT_number 10
_cell_length_a 7.660
_cell_length_b 3.573
_cell_length_c 9.498
_cell_angle_alpha 90.00
_cell_angle_beta 93.69
_cell_angle_gamma 90.00
loop_
_space_group_symop_operation_xyz
'x,y,z'
'-x,-y,-z'
'-x,y,-z'
'x,-y,z'
loop_
_atom_site_label
_atom_site_type_symbol
_atom_site_fract_x
_atom_site_fract_y
_atom_site_fract_z
Tb1 Tb 0.165 0.000 0.343
Tb2 Tb 0.219 0.000 0.946
Cd1 Cd 0.183 0.500 0.650
Cd2 Cd 0.449 0.500 0.177
Cd3 Cd 0.500 0.500 0.500
Ni1 Ni 0.065 0.500 0.131
# VASP energy (eV/atom): -3.507

# Tb6CdNi GGA-PBE optimized geometry
data_Tb6CdNi
_space_group_name_H-M_alt 'R -3'
_space_group_IT_number 148
_space_group_name_Hall '-R 3'
_cell_length_a 6.9346
_cell_length_b 6.9346
_cell_length_c 18.1930
_cell_angle_alpha 90.00
_cell_angle_beta 90.00
_cell_angle_gamma 120.00
loop_
_atom_site_label
_atom_site_type_symbol
_atom_site_fract_x
_atom_site_fract_y
_atom_site_fract_z
Tb1 Tb 0.0059 0.3782 0.4139
Cd1 Cd 0.0000 0.0000 0.5000
Ni1 Ni 0.0000 0.0000 0.0000
# VASP energy (eV/atom): -4.240